[1]
# Lu3AuO | the Alexandria database | PBE-GGA | optimized geometry
data_Lu3AuO
_symmetry_space_group_name_H-M 'P m -3 m'
_symmetry_Int_Tables_number 221
_symmetry_space_group_name_Hall '-P 4 2 3'
_cell_length_a 4.591
_cell_length_b 4.591
_cell_length_c 4.591
_cell_angle_alpha 90.00
_cell_angle_beta 90.00
_cell_angle_gamma 90.00
loop_
_atom_site_label
_atom_site_type_symbol
_atom_site_fract_x
_atom_site_fract_y
_atom_site_fract_z
_atom_site_occupancy
Lu1 Lu 0.000 0.000 0.500 1
Au1 Au 0.500 0.500 0.500 1
O1 O 0.000 0.000 0.000 1
# - Formation energy (no corrections): -1491 meV per atom
# - Total magnetization: 0.0 μB per cell
# - V: 97 Å³ per cell

***

[2]
# PrLuOsAu | the Alexandria database | PBE-GGA | optimized geometry
data_PrLuOsAu
_symmetry_space_group_name_H-M 'F -4 3 m'
_symmetry_Int_Tables_number 216
_symmetry_space_group_name_Hall 'F -4 2 3'
_cell_length_a 7.076
_cell_length_b 7.076
_cell_length_c 7.076
_cell_angle_alpha 90.00
_cell_angle_beta 90.00
_cell_angle_gamma 90.00
loop_
_atom_site_label
_atom_site_type_symbol
_atom_site_fract_x
_atom_site_fract_y
_atom_site_fract_z
_atom_site_occupancy
Pr1 Pr 0.000 0.000 0.000 1
Lu1 Lu 0.000 0.000 0.500 1
Os1 Os 0.250 0.250 0.250 1
Au1 Au 0.250 0.250 0.750 1
# - Total magnetization: 0.0 μB per cell
# - Formation enthalpy at 0 K: -1.45 eV per formula unit
# - V: 354 Å³ per cell

***

[3]
# SmLuOsAu | the Alexandria database | PBE-GGA | optimized geometry
data_SmLuOsAu
_symmetry_space_group_name_H-M 'F -4 3 m'
_symmetry_Int_Tables_number 216
_symmetry_space_group_name_Hall 'F -4 2 3'
_cell_length_a 6.999
_cell_length_b 6.999
_cell_length_c 6.999
_cell_angle_alpha 90.00
_cell_angle_beta 90.00
_cell_angle_gamma 90.00
loop_
_atom_site_label
_atom_site_type_symbol
_atom_site_fract_x
_atom_site_fract_y
_atom_site_fract_z
_atom_site_occupancy
Sm1 Sm 0.000 0.000 0.000 1
Lu1 Lu 0.000 0.000 0.500 1
Os1 Os 0.250 0.250 0.750 1
Au1 Au 0.250 0.250 0.250 1
# - Total magnetization: 0.0 μB per cell
# - Formation enthalpy at 0 K: -1.77 eV per formula unit
# - V: 343 Å³ per cell

***

[4]
# LuThOsAu | the Alexandria database | PBE-GGA | optimized geometry
data_LuThOsAu
_symmetry_space_group_name_H-M 'F -4 3 m'
_symmetry_Int_Tables_number 216
_symmetry_space_group_name_Hall 'F -4 2 3'
_cell_length_a 7.099
_cell_length_b 7.099
_cell_length_c 7.099
_cell_angle_alpha 90.00
_cell_angle_beta 90.00
_cell_angle_gamma 90.00
loop_
_atom_site_label
_atom_site_type_symbol
_atom_site_fract_x
_atom_site_fract_y
_atom_site_fract_z
_atom_site_occupancy
Lu1 Lu 0.000 0.000 0.000 1
Th1 Th 0.000 0.000 0.500 1
Os1 Os 0.250 0.250 0.750 1
Au1 Au 0.250 0.250 0.250 1
# - Total magnetization: 0.0 μB per cell
# - Formation enthalpy at 0 K: -1.78 eV per formula unit
# - V: 358 Å³ per cell

***

[5]
# TmLuOsAu | the Alexandria database | PBE-GGA | optimized geometry
data_TmLuOsAu
_symmetry_space_group_name_H-M 'F -4 3 m'
_symmetry_Int_Tables_number 216
_symmetry_space_group_name_Hall 'F -4 2 3'
_cell_length_a 6.871
_cell_length_b 6.871
_cell_length_c 6.871
_cell_angle_alpha 90.00
_cell_angle_beta 90.00
_cell_angle_gamma 90.00
loop_
_atom_site_label
_atom_site_type_symbol
_atom_site_fract_x
_atom_site_fract_y
_atom_site_fract_z
_atom_site_occupancy
Tm1 Tm 0.000 0.000 0.000 1
Lu1 Lu 0.000 0.000 0.500 1
Os1 Os 0.250 0.250 0.250 1
Au1 Au 0.250 0.250 0.750 1
# - Total magnetization: 0.0 μB per cell
# - Formation enthalpy at 0 K: -2.24 eV per formula unit
# - V: 324 Å³ per cell

***

[6]
# LuPaAu2 | the Alexandria database | PBE-GGA | optimized geometry
data_LuPaAu2
_symmetry_space_group_name_H-M 'F m -3 m'
_symmetry_Int_Tables_number 225
_symmetry_space_group_name_Hall '-F 4 2 3'
_cell_length_a 7.162
_cell_length_b 7.162
_cell_length_c 7.162
_cell_angle_alpha 90.00
_cell_angle_beta 90.00
_cell_angle_gamma 90.00
loop_
_atom_site_label
_atom_site_type_symbol
_atom_site_fract_x
_atom_site_fract_y
_atom_site_fract_z
_atom_site_occupancy
Lu1 Lu 0.000 0.000 0.000 1
Pa1 Pa 0.000 0.000 0.500 1
Au1 Au 0.250 0.250 0.250 1
# - Total magnetization: 2.1 μB per cell
# - Formation enthalpy at 0 K: -1.91 eV per formula unit
# - E above lowest polymorph: 69 meV per atom
# - V: 367 Å³ per cell

***

[7]
# LuPaAu2 | the Alexandria database | PBE-GGA | optimized geometry
data_LuPaAu2
_symmetry_space_group_name_H-M 'P 4/m m m'
_symmetry_Int_Tables_number 123
_symmetry_space_group_name_Hall '-P 4 2'
_cell_length_a 3.437
_cell_length_b 3.437
_cell_length_c 7.648
_cell_angle_alpha 90.00
_cell_angle_beta 90.00
_cell_angle_gamma 90.00
loop_
_atom_site_label
_atom_site_type_symbol
_atom_site_fract_x
_atom_site_fract_y
_atom_site_fract_z
_atom_site_occupancy
Lu1 Lu 0.000 0.000 0.000 1
Pa1 Pa 0.000 0.000 0.500 1
Au1 Au 0.500 0.500 0.230 1
# - Total magnetization: 1.7 μB per cell
# - Formation enthalpy at 0 K: -2.18 eV per formula unit
# - E above lowest polymorph: 0 meV per atom
# - V: 90 Å³ per cell

***

[8]
# LuPa2Au | the Alexandria database | PBE-GGA | optimized geometry
data_LuPa2Au
_symmetry_space_group_name_H-M 'R -3 m'
_symmetry_Int_Tables_number 166
_symmetry_space_group_name_Hall '-R 3 2"'
_cell_length_a 3.1343
_cell_length_b 3.1343
_cell_length_c 35.2749
_cell_angle_alpha 90.00
_cell_angle_beta 90.00
_cell_angle_gamma 120.00
loop_
_atom_site_label
_atom_site_type_symbol
_atom_site_fract_x
_atom_site_fract_y
_atom_site_fract_z
_atom_site_occupancy
Lu1 Lu 0.0000 0.0000 0.0000 1
Pa1 Pa 0.0000 0.0000 0.4148 1
Au1 Au 0.0000 0.0000 0.5000 1
# - Total magnetization: 0.0 μB per cell
# - Formation enthalpy at 0 K: 1.23 eV per formula unit
# - V: 300 Å³ per cell

***

[9]
# LuPaAu2 | the Alexandria database | PBE-GGA | optimized geometry
data_LuPaAu2
_symmetry_space_group_name_H-M 'R -3 m'
_symmetry_Int_Tables_number 166
_symmetry_space_group_name_Hall '-R 3 2"'
_cell_length_a 3.4646
_cell_length_b 3.4646
_cell_length_c 27.1696
_cell_angle_alpha 90.00
_cell_angle_beta 90.00
_cell_angle_gamma 120.00
loop_
_atom_site_label
_atom_site_type_symbol
_atom_site_fract_x
_atom_site_fract_y
_atom_site_fract_z
_atom_site_occupancy
Lu1 Lu 0.0000 0.0000 0.0000 1
Pa1 Pa 0.0000 0.0000 0.5000 1
Au1 Au 0.0000 0.0000 0.2552 1
# - Total magnetization: 0.0 μB per cell
# - Formation enthalpy at 0 K: -1.44 eV per formula unit
# - E above lowest polymorph: 185 meV per atom
# - V: 282 Å³ per cell

***

[10]
# LuPaPtAu | the Alexandria database | PBE-GGA | optimized geometry
data_LuPaPtAu
_symmetry_space_group_name_H-M 'F -4 3 m'
_symmetry_Int_Tables_number 216
_symmetry_space_group_name_Hall 'F -4 2 3'
_cell_length_a 7.061
_cell_length_b 7.061
_cell_length_c 7.061
_cell_angle_alpha 90.00
_cell_angle_beta 90.00
_cell_angle_gamma 90.00
loop_
_atom_site_label
_atom_site_type_symbol
_atom_site_fract_x
_atom_site_fract_y
_atom_site_fract_z
_atom_site_occupancy
Lu1 Lu 0.000 0.000 0.000 1
Pa1 Pa 0.000 0.000 0.500 1
Pt1 Pt 0.250 0.250 0.750 1
Au1 Au 0.250 0.250 0.250 1
# - Total magnetization: 0.1 μB per cell
# - Formation enthalpy at 0 K: -2.92 eV per formula unit
# - V: 352 Å³ per cell

***

[11]
# LuPaRhAu | the Alexandria database | PBE-GGA | optimized geometry
data_LuPaRhAu
_symmetry_space_group_name_H-M 'F -4 3 m'
_symmetry_Int_Tables_number 216
_symmetry_space_group_name_Hall 'F -4 2 3'
_cell_length_a 7.007
_cell_length_b 7.007
_cell_length_c 7.007
_cell_angle_alpha 90.00
_cell_angle_beta 90.00
_cell_angle_gamma 90.00
loop_
_atom_site_label
_atom_site_type_symbol
_atom_site_fract_x
_atom_site_fract_y
_atom_site_fract_z
_atom_site_occupancy
Lu1 Lu 0.000 0.000 0.000 1
Pa1 Pa 0.000 0.000 0.500 1
Rh1 Rh 0.250 0.250 0.750 1
Au1 Au 0.250 0.250 0.250 1
# - Total magnetization: 2.4 μB per cell
# - Formation enthalpy at 0 K: -2.30 eV per formula unit
# - V: 344 Å³ per cell

***

[12]
# LuPaSnAu | the Alexandria database | PBE-GGA | optimized geometry
data_LuPaSnAu
_symmetry_space_group_name_H-M 'F -4 3 m'
_symmetry_Int_Tables_number 216
_symmetry_space_group_name_Hall 'F -4 2 3'
_cell_length_a 7.344
_cell_length_b 7.344
_cell_length_c 7.344
_cell_angle_alpha 90.00
_cell_angle_beta 90.00
_cell_angle_gamma 90.00
loop_
_atom_site_label
_atom_site_type_symbol
_atom_site_fract_x
_atom_site_fract_y
_atom_site_fract_z
_atom_site_occupancy
Lu1 Lu 0.000 0.000 0.000 1
Pa1 Pa 0.000 0.000 0.500 1
Sn1 Sn 0.250 0.250 0.250 1
Au1 Au 0.250 0.250 0.750 1
# - Total magnetization: 8.4 μB per cell
# - Formation enthalpy at 0 K: -1.29 eV per formula unit
# - V: 396 Å³ per cell

***

[13]
# LuPaTlAu | the Alexandria database | PBE-GGA | optimized geometry
data_LuPaTlAu
_symmetry_space_group_name_H-M 'F -4 3 m'
_symmetry_Int_Tables_number 216
_symmetry_space_group_name_Hall 'F -4 2 3'
_cell_length_a 7.365
_cell_length_b 7.365
_cell_length_c 7.365
_cell_angle_alpha 90.00
_cell_angle_beta 90.00
_cell_angle_gamma 90.00
loop_
_atom_site_label
_atom_site_type_symbol
_atom_site_fract_x
_atom_site_fract_y
_atom_site_fract_z
_atom_site_occupancy
Lu1 Lu 0.000 0.000 0.000 1
Pa1 Pa 0.000 0.000 0.500 1
Tl1 Tl 0.250 0.250 0.250 1
Au1 Au 0.250 0.250 0.750 1
# - Total magnetization: 7.5 μB per cell
# - Formation enthalpy at 0 K: -0.55 eV per formula unit
# - V: 400 Å³ per cell

***

[14]
# LuPb2Au | the Alexandria database | PBE-GGA | optimized geometry
data_LuPb2Au
_symmetry_space_group_name_H-M 'R -3 m'
_symmetry_Int_Tables_number 166
_symmetry_space_group_name_Hall '-R 3 2"'
_cell_length_a 3.5160
_cell_length_b 3.5160
_cell_length_c 31.8921
_cell_angle_alpha 90.00
_cell_angle_beta 90.00
_cell_angle_gamma 120.00
loop_
_atom_site_label
_atom_site_type_symbol
_atom_site_fract_x
_atom_site_fract_y
_atom_site_fract_z
_atom_site_occupancy
Lu1 Lu 0.0000 0.0000 0.0000 1
Pb1 Pb 0.0000 0.0000 0.0975 1
Au1 Au 0.0000 0.0000 0.5000 1
# - Total magnetization: 0.0 μB per cell
# - Formation enthalpy at 0 K: 0.31 eV per formula unit
# - E above lowest polymorph: 385 meV per atom
# - V: 341 Å³ per cell

***

[15]
# LuPb2Au | the Alexandria database | PBE-GGA | optimized geometry
data_LuPb2Au
_symmetry_space_group_name_H-M 'P 4/m m m'
_symmetry_Int_Tables_number 123
_symmetry_space_group_name_Hall '-P 4 2'
_cell_length_a 4.694
_cell_length_b 4.694
_cell_length_c 4.538
_cell_angle_alpha 90.00
_cell_angle_beta 90.00
_cell_angle_gamma 90.00
loop_
_atom_site_label
_atom_site_type_symbol
_atom_site_fract_x
_atom_site_fract_y
_atom_site_fract_z
_atom_site_occupancy
Lu1 Lu 0.000 0.000 0.000 1
Pb1 Pb 0.000 0.500 0.500 1
Au1 Au 0.500 0.500 0.000 1
# - Total magnetization: 0.0 μB per cell
# - Formation enthalpy at 0 K: -1.23 eV per formula unit
# - E above lowest polymorph: 0 meV per atom
# - V: 100 Å³ per cell

***

[16]
# LuPdPbAu | the Alexandria database | PBE-GGA | optimized geometry
data_LuPdPbAu
_symmetry_space_group_name_H-M 'F -4 3 m'
_symmetry_Int_Tables_number 216
_symmetry_space_group_name_Hall 'F -4 2 3'
_cell_length_a 6.969
_cell_length_b 6.969
_cell_length_c 6.969
_cell_angle_alpha 90.00
_cell_angle_beta 90.00
_cell_angle_gamma 90.00
loop_
_atom_site_label
_atom_site_type_symbol
_atom_site_fract_x
_atom_site_fract_y
_atom_site_fract_z
_atom_site_occupancy
Lu1 Lu 0.000 0.000 0.000 1
Pd1 Pd 0.250 0.250 0.250 1
Pb1 Pb 0.000 0.000 0.500 1
Au1 Au 0.250 0.250 0.750 1
# - Total magnetization: 0.0 μB per cell
# - Formation enthalpy at 0 K: -2.41 eV per formula unit
# - V: 338 Å³ per cell